First-principles (PBE with a Hubbard U) data for a relaxed K4TlNi3F12 crystal, as listed in Alexandria.

Calculated values
Its raw total energy is -83.97 eV for the cell shown. The volume is 303.9 Å³ per cell.

Lattice parameters (Å, degrees): 7.3357 7.3357 7.3357 109.47 109.47 109.47
Site moments in Bohr magnetons follow the coordinates.
Element x y z (fractional)
F: 0.7500 0.2500 0.5000  0.04
K: 0.0000 0.5000 0.0000  0.00
F: 0.7282 0.0000 0.7282  -0.04
K: 0.5000 0.5000 0.5000  0.00
F: 0.0000 0.2718 0.2718  -0.04
F: 0.5000 0.2500 0.7500  0.04
F: 0.2500 0.5000 0.7500  0.04
Ni: 0.5000 0.5000 0.0000  1.81
F: 0.7282 0.7282 0.0000  -0.04
F: 0.2500 0.7500 0.5000  0.04
K: 0.5000 0.0000 0.0000  0.00
Ni: 0.0000 0.5000 0.5000  1.81
F: 0.0000 0.7282 0.7282  -0.04
F: 0.5000 0.7500 0.2500  0.04
Tl: 0.0000 0.0000 0.0000  -0.38
F: 0.2718 0.0000 0.2718  -0.04
Ni: 0.5000 0.0000 0.5000  1.81
K: 0.0000 0.0000 0.5000  0.00
F: 0.2718 0.2718 0.0000  -0.04
F: 0.7500 0.5000 0.2500  0.04